# 1
A plane-wave DFT calculation with PBE was carried out for crystalline NdDy4Mg at its relaxed geometry.

Cell lengths 3.5962, 3.5962, 14.2791 Å; angles 90.00, 90.00, 90.00 degrees
Fractional positions:
1 Nd 0.0000 0.0000 0.0000
2 Dy 0.5000 0.5000 0.1794
3 Dy 0.0000 0.0000 0.6501
4 Dy 0.0000 0.0000 0.3499
5 Dy 0.5000 0.5000 0.8206
6 Mg 0.5000 0.5000 0.5000

calculated volume: 184.7 Å³/f.u.
N(E_F): 8.4 states/eV/cell
total magnetic moment: 0.0 μB per formula unit
ΔH_f (0 K): -0.011 eV per atom
E above lowest polymorph: 0.000 eV/atom


# 2
A plane-wave DFT calculation with PBE was carried out for crystalline CeNdSi3 at its relaxed geometry.

Cell lengths 4.0082, 4.3130, 12.6227 Å; angles 99.84, 90.00, 90.00 degrees
Fractional positions:
1 Ce 0.2500 0.0686 0.1373
2 Ce 0.7500 0.9314 0.8627
3 Nd 0.2500 0.7985 0.5970
4 Nd 0.7500 0.2015 0.4030
5 Si 0.2500 0.3833 0.7665
6 Si 0.7500 0.6167 0.2335
7 Si 0.2500 0.4763 0.9527
8 Si 0.7500 0.5237 0.0473
9 Si 0.7500 0.3271 0.6542
10 Si 0.2500 0.6729 0.3458

calculated volume: 107.5 Å³/f.u.
VASP energy: -60.92 eV for the cell shown
N(E_F): 10.2 states/eV/cell
total magnetic moment: 0.1 μB per formula unit


# 3
A plane-wave DFT calculation with PBE was carried out for crystalline TmMnP2Ru at its relaxed geometry.

Cell lengths 3.9867, 3.9867, 5.4525 Å; angles 111.44, 111.44, 90.00 degrees
Fractional positions:
1 Tm 0.0000 0.0000 0.0000
2 Mn 0.7500 0.2500 0.5000
3 P 0.6287 0.6287 0.2573
4 P 0.3713 0.3713 0.7427
5 Ru 0.2500 0.7500 0.5000

calculated volume: 74.2 Å³/f.u.
N(E_F): 2.7 states/eV/cell
total magnetic moment: 0.0 μB per formula unit
ΔH_f (0 K): -0.956 eV per atom


# 4
A plane-wave DFT calculation with PBE was carried out for crystalline Dy11Pt4Pb9 at its relaxed geometry.

Cell lengths 3.8257, 13.3243, 13.3243 Å; angles 112.03, 90.00, 90.00 degrees
Fractional positions:
1 Dy 0.0000 0.5806 0.9140
2 Dy 0.0000 0.4194 0.0860
3 Dy 0.0000 0.9140 0.5806
4 Dy 0.0000 0.0860 0.4194
5 Dy 0.0000 0.6288 0.3712
6 Dy 0.0000 0.3712 0.6288
7 Dy 0.0000 0.8386 0.1614
8 Dy 0.0000 0.1614 0.8386
9 Dy 0.0000 0.0000 0.0000
10 Dy 0.0000 0.6907 0.6907
11 Dy 0.0000 0.3093 0.3093
12 Pt 0.5000 0.5482 0.7481
13 Pt 0.5000 0.4518 0.2519
14 Pt 0.5000 0.7481 0.5482
15 Pt 0.5000 0.2519 0.4518
16 Pb 0.5000 0.6310 0.1434
17 Pb 0.5000 0.3690 0.8566
18 Pb 0.5000 0.1434 0.6310
19 Pb 0.5000 0.8566 0.3690
20 Pb 0.5000 0.7850 0.9359
21 Pb 0.5000 0.2150 0.0641
22 Pb 0.5000 0.9359 0.7850
23 Pb 0.5000 0.0641 0.2150
24 Pb 0.5000 0.5000 0.5000

calculated volume: 629.6 Å³/f.u.
N(E_F): 12.2 states/eV/cell
total magnetic moment: 0.0 μB per formula unit
ΔH_f (0 K): -0.715 eV per atom


# 5
A plane-wave DFT calculation with PBE was carried out for crystalline Ga3BiPb3 at its relaxed geometry.

Cell lengths 7.8244, 7.8244, 7.8244 Å; angles 90.00, 90.00, 90.00 degrees
Fractional positions:
1 Pb 0.0000 0.2500 0.5000
2 Pb 0.0000 0.7500 0.5000
3 Pb 0.5000 0.0000 0.7500
4 Pb 0.7500 0.5000 0.0000
5 Pb 0.5000 0.0000 0.2500
6 Pb 0.2500 0.5000 0.0000
7 Bi 0.5000 0.5000 0.5000
8 Bi 0.0000 0.0000 0.0000
9 Ga 0.2500 0.0000 0.5000
10 Ga 0.0000 0.5000 0.2500
11 Ga 0.5000 0.7500 0.0000
12 Ga 0.7500 0.0000 0.5000
13 Ga 0.0000 0.5000 0.7500
14 Ga 0.5000 0.2500 0.0000

calculated volume: 239.5 Å³/f.u.
N(E_F): 9.1 states/eV/cell
total magnetic moment: 0.0 μB per formula unit
ΔH_f (0 K): 0.517 eV per atom
E above lowest polymorph: 0.449 eV/atom


# 6
A plane-wave DFT calculation with PBE was carried out for crystalline YMgPt at its relaxed geometry.

Cell lengths 4.6935, 4.6935, 4.6935 Å; angles 60.00, 60.00, 60.00 degrees
Fractional positions:
1 Mg 0.5000 0.5000 0.5000
2 Pt 0.2500 0.2500 0.2500
3 Y 0.0000 0.0000 0.0000

calculated volume: 73.1 Å³/f.u.
N(E_F): 1.9 states/eV/cell
total magnetic moment: 0.0 μB per formula unit
ΔH_f (0 K): -0.829 eV per atom